[1]
Material: Lu2Zr4C3S3
Method: DFT, PBE
State: relaxed

Unit cell a=6.0242 b=6.0242 c=12.8247 alpha=103.60 beta=103.60 gamma=60.00
Last column: nearest neighbours and their distance in Å.
Fractional positions:
C  0.6712  0.1576  0.5000  4 Zr 2.33-2.35, 2 Lu 2.42-2.43
C  0.8424  0.3288  0.0000  4 Zr 2.33-2.35, 2 Lu 2.42-2.43
C  0.0000  0.5000  0.5000  4 Zr 2.34, 2 Lu 2.41
C  0.5000  0.0000  0.0000  4 Zr 2.34, 2 Lu 2.41
C  0.3288  0.8424  0.5000  4 Zr 2.33-2.35, 2 Lu 2.42-2.43
C  0.1576  0.6712  0.0000  4 Zr 2.33-2.35, 2 Lu 2.42-2.43
Lu  0.3719  0.5359  0.6062  3 C 2.41-2.43, 1 S 2.70
Lu  0.5359  0.3719  0.1062  3 C 2.41-2.43, 1 S 2.70
Lu  0.4641  0.6281  0.8938  3 C 2.41-2.43, 1 S 2.70
Lu  0.6281  0.4641  0.3938  3 C 2.41-2.43, 1 S 2.70
Zr  0.9702  0.7966  0.4008  3 C 2.33-2.35
Zr  0.0298  0.2034  0.5992  3 C 2.33-2.35
Zr  0.3001  0.1369  0.4007  3 C 2.33-2.35
Zr  0.6999  0.8631  0.5993  3 C 2.33-2.35
Zr  0.8631  0.6999  0.0993  3 C 2.33-2.35
Zr  0.2034  0.0298  0.0992  3 C 2.33-2.35
Zr  0.7966  0.9702  0.9008  3 C 2.33-2.35
Zr  0.1369  0.3001  0.9007  3 C 2.33-2.35
S  0.4161  0.2434  0.7493  2 Lu 2.70-2.71, 4 Zr 2.71-2.73
S  0.7566  0.5839  0.7507  2 Lu 2.70-2.71, 4 Zr 2.71-2.73
S  0.2434  0.4161  0.2493  2 Lu 2.70-2.71, 4 Zr 2.71-2.73
S  0.5839  0.7566  0.2507  2 Lu 2.70-2.71, 4 Zr 2.71-2.73
S  0.0764  0.9236  0.7500  2 Lu 2.72, 4 Zr 2.73
S  0.9236  0.0764  0.2500  2 Lu 2.72, 4 Zr 2.73

Calculated values
space-group type	C2/c
DFT total energy	-8.27	eV per atom

[2]
Material: BaCdInPtPb
Method: DFT, PBE
State: relaxed

Unit cell a=4.9710 b=4.9710 c=11.4339 alpha=90.00 beta=90.00 gamma=90.00
Last column: nearest neighbours and their distance in Å.
Fractional positions:
Pt  0.0000  0.5000  0.6014  4 In 2.74, 1 Pb 2.75
Pt  0.5000  0.0000  0.3986  4 In 2.74, 1 Pb 2.75
In  0.0000  0.0000  0.5000  4 Pt 2.74
In  0.5000  0.5000  0.5000  4 Pt 2.74
Ba  0.0000  0.5000  0.2606  4 In 3.70, 4 Pb 3.71, 5 Pt 3.85-3.90, 4 Cd 3.88
Ba  0.5000  0.0000  0.7394  4 In 3.70, 4 Pb 3.71, 5 Pt 3.85-3.90, 4 Cd 3.88
Pb  0.0000  0.5000  0.8419  1 Pt 2.75, 4 Cd 3.07
Pb  0.5000  0.0000  0.1581  1 Pt 2.75, 4 Cd 3.07
Cd  0.0000  0.0000  0.0000  4 Pb 3.07
Cd  0.5000  0.5000  0.0000  4 Pb 3.07

Calculated values
space-group type	P4/nmm
energy above the lowest structure with this stoichiometry	0.000	eV per atom

[3]
Material: YHoIn
Method: DFT, PBE
State: relaxed

Unit cell a=5.1668 b=5.1668 c=5.1668 alpha=60.00 beta=60.00 gamma=60.00
Last column: nearest neighbours and their distance in Å.
Fractional positions:
In  0.0000  0.0000  0.0000  4 Ho 3.16, 4 Y 3.16
Ho  0.2500  0.2500  0.2500  4 In 3.16
Y  0.7500  0.7500  0.7500  4 In 3.16

Calculated values
space-group type	F-43m
energy above the lowest structure with this stoichiometry	0.000	eV per atom

[4]
Material: LiFe3C
Method: DFT, PBE
State: relaxed

Unit cell a=5.0898 b=5.0898 c=4.8813 alpha=90.00 beta=90.00 gamma=122.94
Last column: nearest neighbours and their distance in Å.
Fractional positions:
Fe  0.9551  0.0449  0.0971  2 C 1.93
Fe  0.9649  0.5447  0.9446  2 C 1.97-1.99
Fe  0.0449  0.9551  0.5971  2 C 1.93
Fe  0.5447  0.9649  0.4446  2 C 1.97-1.99
Fe  0.0351  0.4553  0.4446  2 C 1.97-1.99
Fe  0.4553  0.0351  0.9446  2 C 1.97-1.99
C  0.8468  0.1532  0.7545  6 Fe 1.93-1.99
C  0.1532  0.8468  0.2545  6 Fe 1.93-1.99
Li  0.4603  0.5397  0.8133  2 Li 2.54, 10 Fe 2.61-2.80, 2 C 2.65
Li  0.5397  0.4603  0.3133  2 Li 2.54, 10 Fe 2.61-2.80, 2 C 2.65

Calculated values
space-group type	Cmc2_1
DFT total energy	-7.14	eV per atom